This record from Alexandria describes KAuIO2 after structural relaxation. The functional is PBE.

Results
**DFT total energy**: -15.90 eV per formula unit
**ΔE_f (raw)**: -0.1 eV/f.u.
**Energy above the most stable polymorph in this dataset**: 0.000 eV per atom
**Magnetization**: 0.40 μB per cell

Geometry as CIF:
```
data_KAuIO2
_chemical_formula_sum 'K1 Au1 I1 O2'
_symmetry_space_group_name_H-M 'P 4/m m m'
_symmetry_Int_Tables_number 123
_symmetry_space_group_name_Hall '-P 4 2'
_cell_length_a 4.4033
_cell_length_b 4.4033
_cell_length_c 5.6183
_cell_angle_alpha 90.00
_cell_angle_beta 90.00
_cell_angle_gamma 90.00
loop_
_atom_site_label
_atom_site_type_symbol
_atom_site_fract_x
_atom_site_fract_y
_atom_site_fract_z
_atom_site_occupancy
K1 K 0.0000 0.0000 0.0000 1
Au1 Au 0.5000 0.5000 0.5000 1
I1 I 0.5000 0.5000 0.0000 1
O1 O 0.0000 0.5000 0.5000 1
```